(1)
First-principles (PBE) data for a geometry-optimized BaY2Mg structure, as listed in Alexandria.

Structure (extended XYZ):
```
4
Lattice="-2.5886 2.5886 5.1997 2.5886 -2.5886 5.1997 2.5886 2.5886 -5.1997" Properties=species:S:1:pos:R:3 pbc="T T T"
Ba 0.0000 0.0000 0.0000
Y 2.5886 0.0000 2.5999
Y 0.0000 2.5886 2.5999
Mg 0.0000 0.0000 5.1997
```

Results
Symmetry: I4/mmm (139)
Energy of formation in eV per atom: 0.25



(2)
First-principles (PBE) data for a geometry-optimized BaYMg2 structure, as listed in Alexandria.

Structure (extended XYZ):
```
4
Lattice="0.0000 4.0580 4.0580 4.0580 0.0000 4.0580 4.0580 4.0580 0.0000" Properties=species:S:1:pos:R:3 pbc="T T T"
Ba 0.0000 0.0000 0.0000
Y 4.0580 4.0580 4.0580
Mg 2.0290 2.0290 2.0290
Mg 6.0870 6.0870 6.0870
```

Results
Symmetry: Fm-3m (225)
Energy of formation in eV per atom: 0.04



(3)
First-principles (PBE) data for a geometry-optimized BaYMg2 structure, as listed in Alexandria.

Structure (extended XYZ):
```
4
Lattice="6.5617 -1.9019 0.0000 6.5617 1.9019 0.0000 -2.5756 0.0000 5.2916" Properties=species:S:1:pos:R:3 pbc="T T T"
Ba 0.0000 0.0000 0.0000
Y 9.6452 0.0000 1.5752
Mg 1.1783 0.0000 3.9144
Mg 5.6211 0.0000 2.8096
```

Results
Symmetry: Cm (8)
Energy of formation in eV per atom: 0.07



(4)
First-principles (PBE) data for a geometry-optimized BaYMg2 structure, as listed in Alexandria.

Structure (extended XYZ):
```
4
Lattice="0.0000 4.0067 4.0067 4.0067 0.0000 4.0067 4.0067 4.0067 0.0000" Properties=species:S:1:pos:R:3 pbc="T T T"
Ba 0.0000 0.0000 0.0000
Y 6.0101 6.0101 6.0101
Mg 2.0034 2.0034 2.0034
Mg 4.0067 4.0067 4.0067
```

Results
Symmetry: F-43m (216)
Energy of formation in eV per atom: 0.18



(5)
First-principles (PBE) data for a geometry-optimized Ba2YMg2 structure, as listed in Alexandria.

Structure (extended XYZ):
```
10
Lattice="9.5449 0.0000 0.0000 0.0000 9.5449 0.0000 0.0000 0.0000 4.4574" Properties=species:S:1:pos:R:3 pbc="T T T"
Ba 1.7132 3.0593 0.0000
Ba 3.0593 7.8317 0.0000
Ba 6.4857 1.7132 0.0000
Ba 7.8317 6.4857 0.0000
Y 0.0000 0.0000 2.2287
Y 4.7725 4.7725 2.2287
Mg 1.1434 5.9159 2.2287
Mg 3.6291 1.1434 2.2287
Mg 5.9159 8.4015 2.2287
Mg 8.4015 3.6291 2.2287
```

Results
Symmetry: P4/mbm (127)
Energy of formation in eV per atom: 0.18



(6)
First-principles (PBE) data for a geometry-optimized BaYMg17 structure, as listed in Alexandria.

Structure (extended XYZ):
```
19
Lattice="5.2110 3.0086 5.1255 -5.2110 3.0086 5.1255 0.0000 -6.0171 5.1255" Properties=species:S:1:pos:R:3 pbc="T T T"
Ba 0.0000 0.0000 0.0000
Y 0.0000 0.0000 5.1609
Mg 0.0000 -2.8620 2.7411
Mg -2.4785 1.4310 2.7411
Mg -2.6302 -1.5186 7.6516
Mg 0.0000 -2.9578 7.4054
Mg -2.5615 1.4789 7.4054
Mg -1.5226 -2.7168 10.2052
Mg -3.1141 0.0398 10.2052
Mg 2.4785 1.4310 2.7411
Mg 0.0000 0.0000 8.6450
Mg 1.5226 -2.7168 10.2052
Mg -1.5915 2.6770 10.2052
Mg 2.6302 -1.5185 7.6516
Mg 0.0000 3.0371 7.6516
Mg 0.0000 0.0000 11.6695
Mg 2.5615 1.4789 7.4054
Mg 3.1141 0.0398 10.2052
Mg 1.5915 2.6770 10.2052
```

Results
Symmetry: R3m (160)
Energy of formation in eV per atom: -0.04



(7)
First-principles (PBE) data for a geometry-optimized BaYMg2 structure, as listed in Alexandria.

Structure (extended XYZ):
```
4
Lattice="5.5539 -1.8068 0.0000 5.5539 1.8068 0.0000 -1.1698 0.0000 7.0804" Properties=species:S:1:pos:R:3 pbc="T T T"
Ba 0.0000 0.0000 0.0000
Y 4.9690 0.0000 3.5402
Mg 1.8775 0.0000 4.8920
Mg 8.0605 0.0000 2.1884
```

Results
Symmetry: C2/m (12)
Energy of formation in eV per atom: 0.14



(8)
First-principles (PBE) data for a geometry-optimized BaYMg2 structure, as listed in Alexandria.

Structure (extended XYZ):
```
4
Lattice="3.7279 0.0000 0.0000 0.0000 3.7279 0.0000 0.0000 0.0000 9.6941" Properties=species:S:1:pos:R:3 pbc="T T T"
Ba 0.0000 0.0000 0.0000
Y 1.8639 1.8639 6.5127
Mg 0.0000 0.0000 4.5004
Mg 1.8639 1.8639 2.7986
```

Results
Symmetry: P4mm (99)
Energy of formation in eV per atom: 0.08



(9)
First-principles (PBE) data for a geometry-optimized BaYMg2 structure, as listed in Alexandria.

Structure (extended XYZ):
```
4
Lattice="6.1283 0.0000 0.0000 0.0000 3.6257 0.0000 -2.6766 0.0000 6.1476" Properties=species:S:1:pos:R:3 pbc="T T T"
Ba 0.0000 0.0000 0.0000
Y -1.3383 1.8129 3.0738
Mg 1.7259 0.0000 3.0738
Mg 3.0641 1.8129 0.0000
```

Results
Symmetry: P2/m (10)
Energy of formation in eV per atom: 0.19



(10)
First-principles (PBE) data for a geometry-optimized BaY2Mg structure, as listed in Alexandria.

Structure (extended XYZ):
```
4
Lattice="-1.9762 2.9148 6.0082 1.9762 -2.9148 6.0082 1.9762 2.9148 -6.0082" Properties=species:S:1:pos:R:3 pbc="T T T"
Ba 0.0000 0.0000 0.0000
Y 0.0000 0.0000 5.4730
Y 0.0000 2.9148 2.5779
Mg 1.9762 0.0000 2.9031
```

Results
Symmetry: Imm2 (44)
Energy of formation in eV per atom: 0.16



(11)
First-principles (PBE) data for a geometry-optimized BaYMg2 structure, as listed in Alexandria.

Structure (extended XYZ):
```
4
Lattice="4.0058 0.0000 0.0000 0.0000 4.0058 0.0000 0.0000 0.0000 8.3805" Properties=species:S:1:pos:R:3 pbc="T T T"
Ba 0.0000 0.0000 0.0000
Y 0.0000 0.0000 4.1903
Mg 2.0029 2.0029 2.4850
Mg 2.0029 2.0029 5.8955
```

Results
Symmetry: P4/mmm (123)
Energy of formation in eV per atom: -0.04



(12)
First-principles (PBE) data for a geometry-optimized BaY2Mg structure, as listed in Alexandria.

Structure (extended XYZ):
```
4
Lattice="3.8489 0.0000 0.0000 0.0000 3.8489 0.0000 0.0000 0.0000 9.6601" Properties=species:S:1:pos:R:3 pbc="T T T"
Ba 0.0000 0.0000 0.0000
Y 1.9244 1.9244 3.0373
Y 1.9244 1.9244 6.6227
Mg 0.0000 0.0000 4.8300
```

Results
Symmetry: P4/mmm (123)
Energy of formation in eV per atom: 0.09



no.,size of the total moment (μB per formula unit),raw total energy (eV/atom)
1,0.5,-3.864
2,0.0,-2.858
3,0.0,-2.822
4,0.0,-2.717
5,0.0,-2.520
6,0.0,-1.909
7,0.0,-2.753
8,0.6,-2.812
9,0.0,-2.700
10,0.0,-3.946
11,0.2,-2.935
12,0.0,-4.025